Below is a PBEsol-optimized structure of Nd6S4BrN3, with properties calculated at the SCAN level.

The structure in POSCAR format:
```
Nd6S4BrN3
1.0
-2.059 -3.414 -0.058
8.187 -4.834 -6.133
12.356 -7.837 22.672
Br S Nd N
4 16 24 12
Direct
0.250 0.039 0.137
0.750 0.961 0.863
0.250 0.539 0.363
0.750 0.461 0.637
0.750 0.865 0.235
0.250 0.205 0.898
0.750 0.357 0.005
0.750 0.811 0.362
0.250 0.143 0.505
0.750 0.857 0.495
0.750 0.295 0.398
0.250 0.643 0.995
0.750 0.365 0.265
0.250 0.689 0.862
0.750 0.795 0.102
0.250 0.635 0.735
0.250 0.189 0.638
0.250 0.135 0.765
0.750 0.311 0.138
0.250 0.705 0.602
0.250 0.438 0.193
0.750 0.558 0.078
0.750 0.250 0.564
0.750 0.600 0.536
0.750 0.125 0.216
0.250 0.750 0.436
0.250 0.442 0.922
0.750 0.562 0.807
0.750 0.625 0.284
0.750 0.100 0.964
0.250 0.942 0.578
0.250 0.938 0.307
0.250 0.900 0.036
0.750 0.755 0.671
0.750 0.750 0.936
0.250 0.400 0.464
0.250 0.245 0.329
0.750 0.058 0.422
0.250 0.375 0.716
0.750 0.255 0.829
0.250 0.745 0.171
0.250 0.875 0.784
0.750 0.062 0.693
0.250 0.250 0.064
0.750 0.401 0.514
0.250 0.099 0.014
0.750 0.901 0.986
0.750 0.438 0.875
0.250 0.599 0.486
0.250 0.562 0.125
0.750 0.887 0.738
0.750 0.387 0.762
0.250 0.113 0.262
0.750 0.938 0.625
0.250 0.613 0.238
0.250 0.062 0.375
```

Formation energy without anion corrections, eV per atom: -2.138



Below is a PBEsol-optimized structure of Nd3SeBrN2, with properties calculated at the SCAN level.

The structure in POSCAR format:
```
Nd3SeBrN2
1.0
-0.924 1.983 -3.424
4.203 -9.634 -6.713
-12.042 -5.355 0.147
N Se Nd Br
8 4 12 4
Direct
0.750 0.227 0.143
0.750 0.934 0.947
0.250 0.066 0.053
0.250 0.434 0.553
0.250 0.773 0.857
0.750 0.273 0.643
0.750 0.566 0.447
0.250 0.727 0.357
0.250 0.147 0.436
0.250 0.353 0.936
0.750 0.647 0.064
0.750 0.853 0.564
0.250 0.609 0.911
0.250 0.345 0.698
0.750 0.845 0.802
0.750 0.116 0.979
0.250 0.891 0.411
0.750 0.391 0.089
0.750 0.655 0.302
0.250 0.884 0.021
0.750 0.109 0.589
0.250 0.616 0.521
0.750 0.384 0.479
0.250 0.155 0.198
0.750 0.942 0.245
0.250 0.058 0.755
0.750 0.558 0.745
0.250 0.442 0.255
```

Formation energy without anion corrections, eV per atom: -1.854



Below is a PBEsol-optimized structure of NiBrN2O, with properties calculated at the SCAN level.

The structure in POSCAR format:
```
NiBrN2O
1.0
3.782 0.000 0.000
0.000 3.883 0.000
0.000 0.000 3.883
N Br Ni O
2 1 1 1
Direct
0.000 0.000 0.500
0.000 0.500 0.000
0.000 0.000 0.000
0.500 0.500 0.500
0.500 0.000 0.000
```

Formation energy without anion corrections, eV per atom: 2.187



Below is a PBEsol-optimized structure of NiSe2BrN, with properties calculated at the SCAN level.

The structure in POSCAR format:
```
NiSe2BrN
1.0
3.364 0.000 0.000
0.000 5.053 0.000
0.000 0.000 5.053
N Se Ni Br
1 2 1 1
Direct
0.500 0.000 0.000
0.000 0.500 0.000
0.000 0.000 0.500
0.000 0.000 0.000
0.500 0.500 0.500
```

Formation energy without anion corrections, eV per atom: 0.768



Please write out number 3 again, unchanged.
Below is a PBEsol-optimized structure of NiBrN2O, with properties calculated at the SCAN level.

The structure in POSCAR format:
```
NiBrN2O
1.0
3.782 0.000 0.000
0.000 3.883 0.000
0.000 0.000 3.883
N Br Ni O
2 1 1 1
Direct
0.000 0.000 0.500
0.000 0.500 0.000
0.000 0.000 0.000
0.500 0.500 0.500
0.500 0.000 0.000
```

Formation energy without anion corrections, eV per atom: 2.187